PBE-GGA BaSc2VNi, optimized geometry; uncorrected energy = -20.041 eV per formula unit; energy relative to the elements = 182 kJ per mole of atoms; size of the total moment = 1.46 μB/cell; Fermi-level density of states = 0.74 states/eV/atom
1.0
5.209 0.000 0.000
0.000 5.209 0.000
0.000 0.000 4.812
Sc Ni Ba V
2 1 1 1
direct
0.000 0.500 0.000
0.500 0.000 0.000
0.500 0.500 0.500
0.000 0.000 0.000
0.000 0.000 0.500

---

PBE-GGA Cu2AgCl3, optimized geometry; uncorrected energy = -19.010 eV per formula unit; size of the total moment = 0.00 μB/cell
1.0
-2.707 -1.509 2.088
-1.499 -4.387 -5.115
8.921 -5.200 4.464
Cu Ag Cl
4 2 6
direct
0.308 0.751 0.617
0.692 0.249 0.383
0.901 0.859 0.803
0.099 0.141 0.197
0.357 0.150 0.715
0.643 0.850 0.285
0.252 0.247 0.504
0.060 0.822 0.120
0.399 0.653 0.798
0.748 0.753 0.496
0.601 0.347 0.202
0.940 0.178 0.880

---

PBE-GGA Tb6Co2Te, optimized geometry; uncorrected energy = -47.608 eV per formula unit; size of the total moment = 0.00 μB/cell; Fermi-level density of states = 0.92 states/eV/atom
1.0
-3.145 -3.014 2.137
0.622 -0.690 -5.566
6.604 -6.732 0.224
Tb Co Te
6 2 1
direct
0.974 0.948 0.832
0.724 0.447 0.136
0.276 0.553 0.864
0.660 0.320 0.619
0.340 0.680 0.381
0.026 0.052 0.168
0.598 0.196 0.907
0.402 0.804 0.093
0.000 0.000 0.500

---

PBE-GGA CaCu2Sb, optimized geometry; uncorrected energy = -14.794 eV per formula unit; size of the total moment = 0.00 μB/cell; Fermi-level density of states = 0.59 states/eV/atom
1.0
4.135 0.000 0.000
0.000 4.354 0.000
0.000 0.000 4.354
Sb Ca Cu
1 1 2
direct
0.500 0.500 0.000
0.500 0.000 0.500
0.000 0.000 0.000
0.000 0.500 0.500

---

PBE-GGA Dy2Zn4Ga3Cu, optimized geometry; uncorrected energy = -31.315 eV per formula unit; energy relative to the elements = -37 kJ per mole of atoms; size of the total moment = 0.00 μB/cell; Fermi-level density of states = 0.41 states/eV/atom
1.0
4.155 0.000 0.000
0.000 4.155 0.000
0.000 0.000 10.481
Dy Zn Ga Cu
2 4 3 1
direct
0.500 0.000 0.254
0.000 0.500 0.746
0.500 0.500 0.000
0.000 0.000 0.000
0.500 0.000 0.629
0.000 0.500 0.371
0.000 0.000 0.500
0.500 0.000 0.859
0.000 0.500 0.141
0.500 0.500 0.500

---

PBE-GGA Dy2Tm8In3, optimized geometry; uncorrected energy = -51.546 eV per formula unit; energy relative to the elements = 12 kJ per mole of atoms; size of the total moment = 1.98 μB/cell; Fermi-level density of states = 1.01 states/eV/atom
1.0
6.319 0.000 0.000
3.159 5.472 0.000
3.159 1.824 11.563
Dy Tm In
2 8 3
direct
0.637 0.637 0.089
0.363 0.363 0.911
0.727 0.727 0.818
0.273 0.273 0.182
0.222 0.720 0.339
0.720 0.222 0.339
0.720 0.720 0.339
0.280 0.778 0.661
0.778 0.280 0.661
0.280 0.280 0.661
0.000 0.000 0.000
0.813 0.813 0.562
0.187 0.187 0.438

---

PBE-GGA Y4HfHg5, optimized geometry; uncorrected energy = -41.193 eV per formula unit; energy relative to the elements = -37 kJ per mole of atoms; size of the total moment = 0.74 μB/cell; Fermi-level density of states = 1.00 states/eV/atom
1.0
3.682 0.000 0.000
0.000 3.682 0.000
0.000 0.000 18.344
Y Hf Hg
4 1 5
direct
0.000 0.000 0.191
0.000 0.000 0.397
0.000 0.000 0.603
0.000 0.000 0.809
0.000 0.000 0.000
0.500 0.500 0.089
0.500 0.500 0.294
0.500 0.500 0.500
0.500 0.500 0.706
0.500 0.500 0.911

---

PBE-GGA In2Ag2Te, optimized geometry; uncorrected energy = -14.321 eV per formula unit; size of the total moment = 0.00 μB/cell; Fermi-level density of states = 0.36 states/eV/atom
1.0
-1.725 -6.773 -3.026
1.649 -3.379 6.624
-4.080 0.477 1.259
Te Ag In
2 4 4
direct
0.000 0.000 0.000
0.500 0.500 0.000
0.369 0.869 0.000
0.869 0.631 0.000
0.631 0.131 0.000
0.131 0.369 0.000
0.166 0.666 0.500
0.666 0.834 0.500
0.834 0.334 0.500
0.334 0.166 0.500

---

PBE-GGA ReTc, optimized geometry; uncorrected energy = -22.683 eV per formula unit; energy relative to the elements = 6 kJ per mole of atoms; size of the total moment = 0.00 μB/cell; Fermi-level density of states = 1.02 states/eV/atom
1.0
-0.122 2.755 0.001
-0.495 -0.023 2.713
3.830 0.169 0.700
Re Tc
1 1
direct
0.000 0.000 0.000
0.500 0.500 0.500

---

PBE-GGA Sb2TeSe, optimized geometry; uncorrected energy = -14.527 eV per formula unit; size of the total moment = 0.00 μB/cell; Fermi-level density of states = 0.40 states/eV/atom
1.0
-0.860 -1.118 3.490
3.504 0.799 1.120
-2.605 8.503 2.082
Sb Se Te
2 1 1
direct
0.000 0.000 0.969
0.500 0.500 0.297
0.000 0.000 0.418
0.500 0.500 0.817

---

PBE-GGA Ta5TiB3, optimized geometry; uncorrected energy = -90.007 eV per formula unit; energy relative to the elements = -30 kJ per mole of atoms; size of the total moment = 0.00 μB/cell; Fermi-level density of states = 0.48 states/eV/atom
1.0
6.194 0.006 0.146
1.702 5.956 0.146
2.518 1.902 7.462
Ta Ti B
10 2 6
direct
0.962 0.369 0.335
0.296 0.704 0.000
0.766 0.766 0.032
0.433 0.433 0.365
0.567 0.567 0.635
0.234 0.234 0.968
0.369 0.962 0.335
0.704 0.296 0.000
0.038 0.631 0.665
0.631 0.038 0.665
0.099 0.099 0.696
0.901 0.901 0.304
0.667 0.667 0.832
0.670 0.670 0.334
0.000 0.000 0.000
0.000 0.000 0.500
0.333 0.333 0.168
0.330 0.330 0.666

---

PBE-GGA Cs4InPb4, optimized geometry; uncorrected energy = -20.482 eV per formula unit; energy relative to the elements = 5 kJ per mole of atoms; size of the total moment = 0.00 μB/cell; Fermi-level density of states = 1.21 states/eV/atom
1.0
-6.701 2.510 2.840
3.835 -7.556 5.292
3.594 2.372 6.382
Cs In Pb
4 1 4
direct
0.203 0.764 0.439
0.561 0.764 0.797
0.439 0.236 0.561
0.797 0.236 0.203
0.000 0.000 0.000
0.297 0.308 0.990
0.010 0.308 0.703
0.990 0.692 0.010
0.703 0.692 0.297

---

PBE-GGA LaGeBi, optimized geometry; uncorrected energy = -14.912 eV per formula unit; energy relative to the elements = -48 kJ per mole of atoms; size of the total moment = 0.00 μB/cell; Fermi-level density of states = 0.65 states/eV/atom
1.0
4.198 0.000 0.000
0.000 4.949 0.000
0.000 -2.475 4.286
Ge Bi La
1 1 1
direct
0.795 0.000 0.000
0.861 0.667 0.333
0.344 0.333 0.667

---

PBE-GGA ScHgTe2, optimized geometry; uncorrected energy = -15.320 eV per formula unit; size of the total moment = 0.00 μB/cell; Fermi-level density of states = 0.27 states/eV/atom
1.0
4.204 0.000 0.000
0.000 4.204 0.000
0.000 0.000 6.541
Hg Sc Te
1 1 2
direct
0.000 0.000 0.392
0.500 0.500 0.834
0.000 0.000 0.887
0.500 0.500 0.386

---

PBE-GGA Li2LaTlH, optimized geometry; uncorrected energy = -15.722 eV per formula unit; size of the total moment = 0.00 μB/cell; Fermi-level density of states = 1.05 states/eV/atom
1.0
4.655 0.000 0.000
0.000 4.655 0.000
0.000 0.000 4.866
H Tl Li La
1 1 2 1
direct
0.000 0.000 0.000
0.500 0.500 0.500
0.000 0.500 0.000
0.500 0.000 0.000
0.000 0.000 0.500

---

PBE-GGA Mn3Pt2, optimized geometry; uncorrected energy = -40.185 eV per formula unit; energy relative to the elements = -11 kJ per mole of atoms; size of the total moment = 24.66 μB/cell; Fermi-level density of states = 0.67 states/eV/atom
1.0
0.000 4.556 6.741
2.487 0.000 6.741
2.487 4.556 0.000
Mn Pt
6 4
direct
0.711 0.501 0.304
0.484 0.304 0.501
0.749 0.539 0.766
0.946 0.766 0.539
0.097 0.903 0.903
0.347 0.153 0.153
0.164 0.946 0.346
0.544 0.346 0.946
0.304 0.086 0.706
0.904 0.706 0.086

---

PBE-GGA PaMnH5, optimized geometry; uncorrected energy = -37.476 eV per formula unit; size of the total moment = 0.00 μB/cell; Fermi-level density of states = 0.19 states/eV/atom
1.0
-2.144 1.096 3.566
-2.465 -2.979 1.886
2.653 -2.853 6.413
Pa Mn H
2 2 10
direct
0.500 0.500 0.750
0.500 0.500 0.250
0.000 0.000 0.000
0.000 0.000 0.500
0.445 0.902 0.913
0.445 0.902 0.414
0.902 0.445 0.413
0.000 0.000 0.750
0.098 0.555 0.086
0.902 0.445 0.914
0.000 0.000 0.250
0.098 0.555 0.587
0.555 0.098 0.586
0.555 0.098 0.087

---

PBE-GGA Pr3Dy7Y2, optimized geometry; uncorrected energy = -58.428 eV per formula unit; energy relative to the elements = 8 kJ per mole of atoms; size of the total moment = 0.00 μB/cell; Fermi-level density of states = 1.27 states/eV/atom
1.0
-2.194 0.687 2.750
-1.105 -5.737 0.552
14.723 -0.674 11.915
Pr Dy Y
3 7 2
direct
0.500 0.500 0.000
0.000 0.223 0.367
0.000 0.777 0.633
0.500 0.743 0.462
0.500 0.257 0.538
0.000 0.692 0.143
0.000 0.000 0.000
0.000 0.308 0.857
0.500 0.806 0.824
0.500 0.194 0.176
0.500 0.712 0.292
0.500 0.288 0.708

---

PBE-GGA Zr3TaN4, optimized geometry; uncorrected energy = -81.770 eV per formula unit; size of the total moment = 0.00 μB/cell; Fermi-level density of states = 0.45 states/eV/atom
1.0
4.541 0.000 0.000
0.000 6.531 0.000
0.000 0.000 7.510
Zr Ta N
6 2 8
direct
0.564 0.835 0.000
0.064 0.660 0.249
0.564 0.340 0.251
0.064 0.165 0.500
0.564 0.340 0.749
0.064 0.660 0.751
0.064 0.177 0.000
0.564 0.823 0.500
0.064 0.859 0.000
0.564 0.164 0.000
0.064 0.321 0.244
0.564 0.679 0.256
0.064 0.836 0.500
0.564 0.141 0.500
0.564 0.679 0.744
0.064 0.321 0.756

---

PBE-GGA FeOs, optimized geometry; uncorrected energy = -18.976 eV per formula unit; energy relative to the elements = 35 kJ per mole of atoms; size of the total moment = 6.36 μB/cell; Fermi-level density of states = 0.92 states/eV/atom
1.0
2.000 -3.464 0.000
2.000 3.464 0.000
0.000 0.000 7.748
Fe Os
4 4
direct
0.000 0.000 0.250
0.000 0.000 0.750
0.333 0.667 0.750
0.667 0.333 0.250
0.333 0.667 0.078
0.667 0.333 0.578
0.667 0.333 0.922
0.333 0.667 0.422

---

PBE-GGA TlAs4Au, optimized geometry; uncorrected energy = -22.527 eV per formula unit; energy relative to the elements = 28 kJ per mole of atoms; size of the total moment = 0.00 μB/cell; Fermi-level density of states = 0.11 states/eV/atom
1.0
3.959 -4.587 -0.852
-1.273 -4.432 -4.022
3.156 -0.386 -5.228
Tl As Au
1 4 1
direct
0.000 0.000 0.000
0.805 0.398 0.398
0.398 0.398 0.805
0.398 0.805 0.398
0.398 0.398 0.398
0.750 0.750 0.750

---

PBE-GGA LaDyCd, optimized geometry; uncorrected energy = -11.028 eV per formula unit; energy relative to the elements = -19 kJ per mole of atoms; size of the total moment = 0.51 μB/cell; Fermi-level density of states = 1.15 states/eV/atom
1.0
3.747 0.000 0.000
0.000 3.747 0.000
-1.873 -1.873 6.517
Cd La Dy
1 1 1
direct
0.677 0.677 0.353
0.007 0.007 0.014
0.316 0.316 0.633

---

PBE-GGA TbY15Sc4, optimized geometry; uncorrected energy = -126.029 eV per formula unit; energy relative to the elements = 4 kJ per mole of atoms; size of the total moment = 0.00 μB/cell; Fermi-level density of states = 1.66 states/eV/atom
1.0
-3.672 -2.499 2.248
3.292 -2.003 3.152
-3.381 19.020 15.617
Tb Y Sc
1 15 4
direct
0.000 0.000 0.000
0.500 0.500 0.000
0.500 0.500 0.203
0.500 0.500 0.401
0.500 0.500 0.599
0.500 0.500 0.797
0.500 0.000 0.103
0.500 0.000 0.302
0.500 0.000 0.500
0.500 0.000 0.698
0.500 0.000 0.897
0.000 0.500 0.103
0.000 0.500 0.302
0.000 0.500 0.500
0.000 0.500 0.698
0.000 0.500 0.897
0.000 0.000 0.202
0.000 0.000 0.401
0.000 0.000 0.599
0.000 0.000 0.798

---

PBE-GGA AlP2Au, optimized geometry; uncorrected energy = -16.500 eV per formula unit; energy relative to the elements = 32 kJ per mole of atoms; size of the total moment = 0.00 μB/cell; Fermi-level density of states = 0.58 states/eV/atom
1.0
-1.369 -8.817 -3.871
1.280 -8.216 -5.044
1.093 -9.379 -2.330
P Au Al
2 1 1
direct
0.016 0.016 0.016
0.229 0.229 0.229
0.758 0.758 0.758
0.496 0.496 0.496